Dy5ErThIn2: relaxed, GGA-PBE.

Cell and atoms, written as CIF:
```
data_Dy5ErThIn2
_space_group_name_H-M_alt 'I 4/m c m'
_space_group_IT_number 140
_space_group_name_Hall '-I 4 2c'
_cell_length_a 7.601
_cell_length_b 7.601
_cell_length_c 19.410
_cell_angle_alpha 90.00
_cell_angle_beta 90.00
_cell_angle_gamma 90.00
loop_
_atom_site_label
_atom_site_fract_x
_atom_site_fract_y
_atom_site_fract_z
_atom_site_occupancy
Dy1 0.000 0.000 0.000 1
Dy2 0.204 0.296 0.125 1
Er1 0.000 0.500 0.250 1
Th1 0.000 0.000 0.250 1
In1 0.124 0.376 0.500 1
```

Computed properties:
E in eV/cell: -161.33
Formation energy from the elements in eV/atom: 0.015
N(E_F) in states/eV per cell: 49.03